# GeSeOF2 | Alexandria via LeMat-Bulk | meta-GGA SCAN | PBEsol geometry
# Crystal system: tetragonal
# E (eV for the cell shown): -56.8
data_GeSeOF2
_cell_length_a 4.2585
_cell_length_b 4.2585
_cell_length_c 3.6864
_cell_angle_alpha 90.00
_cell_angle_beta 90.00
_cell_angle_gamma 90.00
_space_group_name_H-M_alt 'P 4/m m m'
_space_group_IT_number 123
_space_group_name_Hall '-P 4 2'
loop_
_atom_site_label
_atom_site_type_symbol
_atom_site_fract_x
_atom_site_fract_y
_atom_site_fract_z
_atom_site_occupancy
Ge1 Ge 0.0000 0.0000 0.0000 1
Se1 Se 0.5000 0.5000 0.5000 1
O1 O 0.0000 0.0000 0.5000 1
F1 F 0.0000 0.5000 0.0000 1

# InCu2Tc | Alexandria via LeMat-Bulk | meta-GGA SCAN | PBEsol geometry
# Crystal system: orthorhombic
# Formation enthalpy at 0 K (kJ per mole of atoms): 36.3
data_InCu2Tc
_cell_length_a 2.8098
_cell_length_b 4.5902
_cell_length_c 9.0441
_cell_angle_alpha 90.00
_cell_angle_beta 90.00
_cell_angle_gamma 90.00
_space_group_name_H-M_alt 'I m m m'
_space_group_IT_number 71
_space_group_name_Hall '-I 2 2'
loop_
_atom_site_label
_atom_site_type_symbol
_atom_site_fract_x
_atom_site_fract_y
_atom_site_fract_z
_atom_site_occupancy
In1 In 0.0000 0.0000 0.0000 1
Cu1 Cu 0.0000 0.5000 0.2446 1
Tc1 Tc 0.0000 0.0000 0.5000 1

# Sr2InN2 | Alexandria via LeMat-Bulk | meta-GGA SCAN | PBEsol geometry
# Crystal system: orthorhombic
# E (eV for the cell shown): -795.8
data_Sr2InN2
_cell_length_a 5.3126
_cell_length_b 11.8555
_cell_length_c 12.5891
_cell_angle_alpha 90.00
_cell_angle_beta 90.00
_cell_angle_gamma 90.00
_space_group_name_H-M_alt 'C m c e'
_space_group_IT_number 64
_space_group_name_Hall '-C 2ac 2'
loop_
_atom_site_label
_atom_site_type_symbol
_atom_site_fract_x
_atom_site_fract_y
_atom_site_fract_z
_atom_site_occupancy
Sr1 Sr 0.0000 0.0383 0.1414 1
Sr2 Sr 0.0000 0.1411 0.5508 1
In1 In 0.0000 0.2372 0.3200 1
N1 N 0.0000 0.0620 0.3601 1
N2 N 0.0000 0.1542 0.9512 1